Density functional theory data (GGA-PBE) for an optimized crystal structure of Cs2LiHgS.

As for the space group: P4/mmm (123).

Cell lengths 6.9989, 6.9989, 4.5415 Å; angles 90.00, 90.00, 90.00 degrees
Last column: nearest neighbours and their distance in Å.
Fractional positions:
1 Cs 0.0000 0.5000 0.0000  2 S 3.50
2 Cs 0.5000 0.0000 0.0000  2 S 3.50
3 Li 0.0000 0.0000 0.5000  2 S 2.27
4 Hg 0.5000 0.5000 0.5000  8 Cs 4.17, 2 Hg 4.54
5 S 0.0000 0.0000 0.0000  2 Li 2.27

Density functional theory data (GGA-PBE) for an optimized crystal structure of Cs2LiHgSb.

As for the space group: P4/mmm (123).

Cell lengths 6.8885, 6.8885, 5.0232 Å; angles 90.00, 90.00, 90.00 degrees
Last column: nearest neighbours and their distance in Å.
Fractional positions:
1 Cs 0.0000 0.5000 0.0000  2 Li 3.44
2 Cs 0.5000 0.0000 0.0000  2 Li 3.44
3 Li 0.0000 0.0000 0.0000  2 Sb 2.51
4 Hg 0.5000 0.5000 0.5000  8 Cs 4.26
5 Sb 0.0000 0.0000 0.5000  2 Li 2.51

Let's list magnetic moment in order: 0.00, 0.00 μB per formula unit.
Let's list ΔE_f (raw) in order: -0.6658, -0.2902 eV per atom.